1.
Here is a crystal of MgAg3 relaxed with PBEsol from the Alexandria database. Energies are from SCAN.

The structure in POSCAR format:
```
MgAg3
1.0
-0.2998 -1.0584 -4.6256
5.3074 -2.1776 0.1542
-4.5181 -3.3744 1.0650
Ag Mg
6 2
direct
0.7500 0.1660 0.3321
0.2500 0.8340 0.6679
0.7500 0.1660 0.8340
0.2500 0.8340 0.1660
0.7500 0.6679 0.8340
0.2500 0.3321 0.1660
0.7500 0.6667 0.3333
0.2500 0.3333 0.6667
```

Summary:
Energy above the most stable polymorph in this dataset   0.005 eV per atom
SG   No. 194

---

2.
Here is a crystal of BaH2S2O8 relaxed with PBEsol from the Alexandria database. Energies are from SCAN.

The structure in POSCAR format:
```
BaH2S2O8
1.0
4.6522 0.0000 0.0000
0.0000 10.7998 0.0000
0.0000 0.0000 12.9776
Ba H S O
4 8 8 32
direct
0.5134 0.5625 0.3418
0.9866 0.4375 0.8418
0.0134 0.9375 0.6582
0.4866 0.0625 0.1582
0.1740 0.7478 0.9016
0.3260 0.2522 0.4016
0.6740 0.7522 0.0984
0.8260 0.2478 0.5984
0.4691 0.5801 0.6433
0.0309 0.4199 0.1433
0.9691 0.9199 0.3567
0.5309 0.0801 0.8567
0.5607 0.7145 0.8164
0.9393 0.2855 0.3164
0.0607 0.7855 0.1836
0.4393 0.2145 0.6836
0.0615 0.5785 0.5691
0.4385 0.4215 0.0691
0.5615 0.9215 0.4309
0.9385 0.0785 0.9309
0.5205 0.8204 0.7480
0.9795 0.1796 0.2480
0.0205 0.6796 0.2520
0.4795 0.3204 0.7520
0.8566 0.6981 0.8520
0.6434 0.3019 0.3520
0.3566 0.8019 0.1480
0.1434 0.1981 0.6480
0.4539 0.5976 0.7703
0.0461 0.4024 0.2703
0.9539 0.9024 0.2297
0.5461 0.0976 0.7297
0.3854 0.7374 0.9173
0.1146 0.2626 0.4173
0.8854 0.7626 0.0827
0.6146 0.2374 0.5827
0.9999 0.5563 0.4597
0.5001 0.4437 0.9597
0.4999 0.9437 0.5403
0.0001 0.0563 0.0403
0.9789 0.7017 0.6038
0.5211 0.2983 0.1038
0.4789 0.7983 0.3962
0.0211 0.2017 0.8962
0.5448 0.5188 0.1371
0.9552 0.4812 0.6371
0.0448 0.9812 0.8629
0.4552 0.0188 0.3629
0.4012 0.5707 0.5692
0.0988 0.4293 0.0692
0.9012 0.9293 0.4308
0.5988 0.0707 0.9308
```

Summary:
E_tot   -10.74 eV per atom
SG   No. 19

---

3.
Here is a crystal of Bi2Sb2Au relaxed with PBEsol from the Alexandria database. Energies are from SCAN.

The structure in POSCAR format:
```
Bi2Sb2Au
1.0
-3.4004 -1.0787 -1.9252
1.8771 -3.2734 -1.4813
-1.7108 -2.3709 8.6180
Sb Au Bi
2 1 2
direct
0.2500 0.7500 0.5000
0.7500 0.2500 0.5000
0.0000 0.0000 0.0000
0.4130 0.4130 0.8261
0.5870 0.5870 0.1739
```

Summary:
Uncorrected formation energy   0.325 eV per atom
SG   No. 139

---

4.
Here is a crystal of ZrReRu2 relaxed with PBEsol from the Alexandria database. Energies are from SCAN.

The structure in POSCAR format:
```
ZrReRu2
1.0
-0.0629 2.8077 -0.6034
-3.3544 -0.7479 -3.1306
-2.4694 -0.6188 4.2151
Re Ru Zr
1 2 1
direct
0.7302 0.2028 0.4604
0.9972 0.0290 0.9945
0.2668 0.7429 0.5336
0.5057 0.5253 0.0115
```

Summary:
Energy above the most stable polymorph in this dataset   0.000 eV per atom
SG   No. 8

---

5.
Here is a crystal of Cr5Se relaxed with PBEsol from the Alexandria database. Energies are from SCAN.

The structure in POSCAR format:
```
Cr5Se
1.0
-2.2494 3.2693 -2.5149
-3.8070 -1.1631 -2.4953
-4.2428 1.4970 1.3526
Cr Se
5 1
direct
0.2500 0.2500 0.2500
0.6255 0.1236 0.6255
0.6255 0.6255 0.1236
0.6255 0.6255 0.6255
0.1236 0.6255 0.6255
0.0000 0.0000 0.0000
```

Summary:
Uncorrected formation energy   0.535 eV per atom
Energy above the most stable polymorph in this dataset   0.336 eV per atom
SG   No. 216

---

6.
Here is a crystal of CaTcP2 relaxed with PBEsol from the Alexandria database. Energies are from SCAN.

The structure in POSCAR format:
```
CaTcP2
1.0
3.7512 0.0000 0.0000
0.0000 3.7512 0.0000
-1.8756 -1.8756 4.5699
Ca P Tc
1 2 1
direct
0.2500 0.7500 0.5000
0.0000 0.0000 0.0000
0.7500 0.2500 0.5000
0.5000 0.5000 0.0000
```

Summary:
Energy above the most stable polymorph in this dataset   0.737 eV per atom
SG   No. 119

---

7.
Here is a crystal of RbCo3Ir relaxed with PBEsol from the Alexandria database. Energies are from SCAN.

The structure in POSCAR format:
```
RbCo3Ir
1.0
4.2913 0.0000 0.0000
0.0000 4.2913 0.0000
0.0000 0.0000 4.2913
Ir Co Rb
1 3 1
direct
0.5000 0.5000 0.5000
0.0000 0.5000 0.0000
0.0000 0.0000 0.5000
0.5000 0.0000 0.0000
0.0000 0.0000 0.0000
```

Summary:
E_tot   -25.93 eV per atom
SG   No. 221

---

8.
Here is a crystal of Mg2TlCd relaxed with PBEsol from the Alexandria database. Energies are from SCAN.

The structure in POSCAR format:
```
Mg2TlCd
1.0
-0.1816 -2.7835 -4.1593
4.1083 -0.5834 -2.8040
2.3214 -4.4350 -0.1483
Tl Mg Cd
1 2 1
direct
0.5000 0.5000 0.5000
0.7500 0.7500 0.7500
0.2500 0.2500 0.2500
0.0000 0.0000 0.0000
```

Summary:
E_tot   -28.31 eV per atom
SG   No. 225

---

9.
Here is a crystal of LiRu2O4 relaxed with PBEsol from the Alexandria database. Energies are from SCAN.

The structure in POSCAR format:
```
LiRu2O4
1.0
2.7191 0.0000 0.0000
0.0000 9.2409 0.0000
0.0000 0.0000 11.1235
Li Ru O
4 8 16
direct
0.7500 0.7511 0.1054
0.7500 0.2511 0.3946
0.2500 0.2489 0.8946
0.2500 0.7489 0.6054
0.7500 0.0846 0.6073
0.7500 0.5846 0.8927
0.2500 0.9154 0.3927
0.2500 0.4154 0.1073
0.7500 0.0601 0.1187
0.7500 0.5601 0.3813
0.2500 0.9399 0.8813
0.2500 0.4399 0.6187
0.7500 0.9717 0.2760
0.7500 0.4717 0.2240
0.2500 0.0283 0.7240
0.2500 0.5283 0.7760
0.7500 0.0936 0.9385
0.7500 0.5936 0.5615
0.2500 0.9064 0.0615
0.2500 0.4064 0.4385
0.7500 0.2912 0.6587
0.7500 0.7912 0.8413
0.2500 0.7088 0.3413
0.2500 0.2088 0.1587
0.7500 0.8850 0.5307
0.7500 0.3850 0.9693
0.2500 0.1150 0.4693
0.2500 0.6150 0.0307
```

Summary:
Uncorrected formation energy   -1.326 eV per atom
SG   No. 62

---

10.
Here is a crystal of InNi2Au2 relaxed with PBEsol from the Alexandria database. Energies are from SCAN.

The structure in POSCAR format:
```
InNi2Au2
1.0
-3.1258 -0.7222 1.9413
0.7133 -3.6748 -0.2186
4.2319 2.4895 4.1186
Au In Ni
2 1 2
direct
0.2500 0.7500 0.5000
0.7500 0.2500 0.5000
0.0000 0.0000 0.0000
0.5972 0.5972 0.1944
0.4028 0.4028 0.8056
```

Summary:
Energy above the most stable polymorph in this dataset   0.208 eV per atom
SG   No. 139

---

11.
Here is a crystal of CsSeO2F relaxed with PBEsol from the Alexandria database. Energies are from SCAN.

The structure in POSCAR format:
```
CsSeO2F
1.0
-3.9226 -0.0988 0.4556
0.3088 -3.4426 1.9125
0.4274 2.3684 4.1941
Cs O Se F
1 2 1 1
direct
0.5000 0.5000 0.5000
0.0000 0.5000 0.0000
0.5000 0.0000 0.0000
0.0000 0.0000 0.0000
0.0000 0.0000 0.5000
```

Summary:
Uncorrected formation energy   -1.205 eV per atom
SG   No. 123

---

12.
Here is a crystal of IrOsRu2 relaxed with PBEsol from the Alexandria database. Energies are from SCAN.

The structure in POSCAR format:
```
IrOsRu2
1.0
2.6789 0.0000 0.0000
0.0000 4.6520 -0.0055
0.0000 -1.5603 4.3863
Ru Ir Os
2 1 1
direct
0.0000 0.0000 0.0000
0.5000 0.0000 0.5000
0.5000 0.5000 0.0000
0.0000 0.5000 0.5000
```

Summary:
Energy above the most stable polymorph in this dataset   0.010 eV per atom
SG   No. 10

---

| no. | calculated volume (Å³/cell) |
| --- | --- |
| 1 | 135.6 |
| 2 | 652.0 |
| 3 | 141.9 |
| 4 | 61.6 |
| 5 | 73.3 |
| 6 | 64.3 |
| 7 | 79.0 |
| 8 | 88.8 |
| 9 | 279.5 |
| 10 | 82.0 |
| 11 | 75.5 |
| 12 | 54.6 |